Entry 1:
! LiAcIn3 (PBE-GGA, relaxed); values from VASP
! VASP energy   -3.083 eV per atom
! Energy of formation from the pure elements   -23 kJ/mol of atoms
&SYSTEM
  ibrav = 0, nat = 5, ntyp = 3
/
ATOMIC_SPECIES
Ac 227.00 Ac.upf
Li 6.94 Li.upf
In 114.82 In.upf
ATOMIC_POSITIONS angstrom
Ac -1.5744 -4.1391 -0.2102
Li 0.0000 0.0000 0.0000
In 1.1940 -2.0822 0.8891
In -2.1886 -0.8041 1.0561
In -0.5798 -1.2529 -2.1554
CELL_PARAMETERS angstrom
-1.1596 -2.5057 -4.3109
2.3881 -4.1644 1.7782
-4.3771 -1.6082 2.1122

---

Entry 2:
! Zr3Co2Os (PBE-GGA, relaxed); values from VASP
! VASP energy   -8.873 eV per atom
! Energy of formation from the pure elements   -35 kJ/mol of atoms
&SYSTEM
  ibrav = 0, nat = 6, ntyp = 3
/
ATOMIC_SPECIES
Zr 91.22 Zr.upf
Co 58.93 Co.upf
Os 190.23 Os.upf
ATOMIC_POSITIONS angstrom
Zr 0.0000 0.0000 0.0000
Zr -1.6959 -1.5808 6.0905
Zr -0.8275 -0.7714 2.9719
Co -4.2267 -1.2047 7.1876
Co -2.5294 0.3774 1.0921
Os -3.3781 -0.4136 4.1398
CELL_PARAMETERS angstrom
-1.4987 2.8422 0.3204
-2.7340 -1.3173 -1.1032
-2.5234 -2.3522 9.0624

---

Q: Which formula does entry 1 have?
A: LiAcIn3